# Rb3AgMo2O8 PBE with a Hubbard U relaxed
data_Rb3AgMo2O8
_cell_length_a 6.2799
_cell_length_b 6.2799
_cell_length_c 8.0765
_cell_angle_alpha 90.00
_cell_angle_beta 90.00
_cell_angle_gamma 120.00
_symmetry_space_group_name_H-M 'P -3 m 1'
_symmetry_Int_Tables_number 164
_symmetry_space_group_name_Hall '-P 3 2"'
loop_
_atom_site_label
_atom_site_type_symbol
_atom_site_fract_x
_atom_site_fract_y
_atom_site_fract_z
_atom_site_occupancy
Rb1 Rb 0.0000 0.0000 0.0000 1
Rb2 Rb 0.3333 0.6667 0.6606 1
Ag1 Ag 0.0000 0.0000 0.5000 1
Mo1 Mo 0.3333 0.6667 0.2198 1
O1 O 0.1780 0.3559 0.2995 1
O2 O 0.3333 0.6667 0.9991 1
# Energy = -5.899 eV/atom
# Density of states at the Fermi level = 0.000 states/eV per atom